A plane-wave DFT calculation with PBE was carried out for a geometry-optimized Li2CaBrN structure.

Unit cell a=3.613 b=7.156 c=7.058 alpha=90.00 beta=90.00 gamma=104.62
Sites, in units of the cell vectors:
Li1 0.137 0.274 0.974
Li2 0.863 0.726 0.026
Li3 0.137 0.274 0.526
Li4 0.863 0.726 0.474
Ca1 0.493 0.987 0.750
Ca2 0.507 0.013 0.250
Br1 0.730 0.460 0.750
Br2 0.270 0.540 0.250
N1 0.000 0.000 0.000
N2 0.000 0.000 0.500

Properties
Raw formation energy in eV/atom: -0.927
Spin magnetization in μB/f.u.: 0.00
Energy in eV/cell: -40.9
Density in g/cm3: 2.8

***

A plane-wave DFT calculation with PBE was carried out for a geometry-optimized Li2CaBrN structure.

Unit cell a=4.207 b=4.207 c=4.806 alpha=90.00 beta=90.00 gamma=90.00
Sites, in units of the cell vectors:
Ca1 0.000 0.000 0.500
Li1 0.000 0.500 0.000
Li2 0.500 0.000 0.000
Br1 0.500 0.500 0.500
N1 0.000 0.000 0.000

Properties
Raw formation energy in eV/atom: -0.923
Spin magnetization in μB/f.u.: 0.00
Energy in eV/cell: -20.4
Density in g/cm3: 2.9

***

A plane-wave DFT calculation with PBE was carried out for a geometry-optimized NaLiCa2Br6 structure.

Unit cell a=7.275 b=7.275 c=7.834 alpha=62.33 beta=62.33 gamma=60.00
Sites, in units of the cell vectors:
Na1 0.816 0.816 0.551
Li1 0.321 0.321 0.036
Ca1 0.514 0.514 0.458
Ca2 0.010 0.011 0.969
Br1 0.594 0.231 0.245
Br2 0.231 0.931 0.245
Br3 0.931 0.594 0.245
Br4 0.410 0.718 0.756
Br5 0.718 0.116 0.756
Br6 0.116 0.410 0.756

Properties
Raw formation energy in eV/atom: -1.822
Spin magnetization in μB/f.u.: 0.00
Energy in eV/cell: -35.5
Density in g/cm3: 3.2

***

What is the spin magnetization in the second record?
0.00 μB/f.u.